YNiAgF6 (PBE+U, optimized geometry); total moment = 0.210 μB per atom; total energy = -95.01 eV for the cell shown; ρ = 4.363 Mg/m³
1.0
5.7145 0.0000 0.0000
-2.8572 4.9489 0.0000
0.0000 0.0000 9.9437
Y Ni Ag F
2 2 2 12
Direct
0.3333 0.6667 0.2500
0.6667 0.3333 0.7500
0.3333 0.6667 0.7500
0.6667 0.3333 0.2500
0.0000 0.0000 0.0000
0.0000 0.0000 0.5000
0.0219 0.3780 0.6396
0.0219 0.6439 0.8604
0.3561 0.3780 0.8604
0.3561 0.9781 0.6396
0.3780 0.0219 0.1396
0.3780 0.3561 0.3604
0.6220 0.6439 0.6396
0.6220 0.9781 0.8604
0.6439 0.0219 0.3604
0.6439 0.6220 0.1396
0.9781 0.3561 0.1396
0.9781 0.6220 0.3604